Entry 1:
Compound: HoB3
Source: Alexandria
Functional: GGA-PBE
Structure: relaxed

abc: 3.5798 3.5798 8.3065
angles: 90.00 90.00 90.00
Last column: nearest neighbours and their distance in Å.
Space group I4/mmm (No. 139)
Symmetry-distinct sites (fractional):
Ho 0.0000 0.0000 0.0000  6 B 2.53-2.58
B 0.0000 0.0000 0.3108  1 B 1.57
B 0.0000 0.0000 0.5000  2 B 1.57

Calculated values
Electronic total energy, eV/atom: -5.7354
Magnetic moment, μB per atom: 0.000


Entry 2:
Compound: HoB6
Source: Alexandria
Functional: GGA-PBE
Structure: relaxed

abc: 5.0063 5.0063 5.0063
angles: 90.00 90.00 90.00
Last column: nearest neighbours and their distance in Å.
Space group Im-3m (No. 229)
Symmetry-distinct sites (fractional):
Ho 0.0000 0.0000 0.0000  24 B 2.80
B 0.0000 0.2500 0.5000  4 B 1.77

Calculated values
Electronic total energy, eV/atom: -6.4346
Energy above the most stable polymorph in this dataset, meV/atom: 321
Magnetic moment, μB per atom: 0.000


Entry 3:
Compound: HoB12
Source: Alexandria
Functional: GGA-PBE
Structure: relaxed

abc: 7.4892 7.4892 7.4892
angles: 90.00 90.00 90.00
Last column: nearest neighbours and their distance in Å.
Space group Fm-3m (No. 225)
Symmetry-distinct sites (fractional):
Ho 0.0000 0.0000 0.0000  24 B 2.78
B 0.0000 0.1688 0.3312  5 B 1.72-1.79

Calculated values
Electronic total energy, eV/atom: -6.7550
Magnetic moment, μB per atom: 0.000


Entry 4:
Compound: HoB2
Source: Alexandria
Functional: GGA-PBE
Structure: relaxed

abc: 3.5513 3.5513 11.4973
angles: 90.00 90.00 90.00
Last column: nearest neighbours and their distance in Å.
Space group I4_1/amd (No. 141, origin choice 2)
Symmetry-distinct sites (fractional):
Ho 0.0000 0.2500 0.3750  12 B 2.65-2.67
B 0.0000 0.2500 0.7964  1 B 1.81

Calculated values
Electronic total energy, eV/atom: -6.4216
Energy above the most stable polymorph in this dataset, meV/atom: 153
Magnetic moment, μB per atom: 0.000


Record-wise energy relative to the elements values, in eV/atom: 0.417, -0.057, -0.239, -0.444